Compound: Ta2NbIrN
Source: Alexandria
Functional: PBE-GGA
Structure: optimized geometry

## Properties
The value obtained for the total moment is 0.0 μB per formula unit. The value obtained for the formation energy from raw total energies is -0.6384 eV/atom.

a b c (Å): 4.2096 4.2096 4.2296
angles (deg): 90.00 90.00 90.00
Fractional coordinates of all 5 atoms:
Ta 0.0000 0.5000 0.0000
Ta 0.5000 0.0000 0.0000
Nb 0.0000 0.0000 0.5000
Ir 0.5000 0.5000 0.5000
N 0.0000 0.0000 0.0000

=====

Compound: Co2TcRh
Source: Alexandria
Functional: PBE-GGA
Structure: optimized geometry

## Properties
The calculated formation energy is 0.303 eV per atom. The value obtained for the total moment is 3.7 μB per formula unit. The distance to the lowest polymorph of the same formula comes out at 268.5 meV/atom.

a b c (Å): 4.1956 4.1956 4.1956
angles (deg): 60.00 60.00 60.00
Fractional coordinates of all 4 atoms:
Co 0.0000 0.0000 0.0000
Co 0.2500 0.2500 0.2500
Tc 0.5000 0.5000 0.5000
Rh 0.7500 0.7500 0.7500

=====

Compound: Tb2CeDy5Tm
Source: Alexandria
Functional: PBE-GGA
Structure: optimized geometry

## Properties
The calculated formation energy is 0.168 eV per atom. The value obtained for the total moment is 0.6 μB per formula unit.

a b c (Å): 11.1232 11.1232 9.5044
angles (deg): 90.00 90.00 150.43
Fractional coordinates of all 18 atoms:
Tb 0.1140 0.8860 0.5000
Tb 0.1328 0.8672 0.8857
Tb 0.8672 0.1328 0.3857
Tb 0.8860 0.1140 0.0000
Ce 0.1900 0.8100 0.1967
Ce 0.8100 0.1900 0.6967
Dy 0.0138 0.9862 0.1890
Dy 0.2674 0.7326 0.5094
Dy 0.3061 0.6939 0.8912
Dy 0.3950 0.6050 0.2241
Dy 0.4712 0.5288 0.9257
Dy 0.5288 0.4712 0.4257
Dy 0.6050 0.3950 0.7241
Dy 0.6939 0.3061 0.3912
Dy 0.7326 0.2674 0.0094
Dy 0.9862 0.0138 0.6890
Tm 0.4028 0.5972 0.6075
Tm 0.5972 0.4028 0.1075

=====

Compound: PaTl2S3
Source: Alexandria
Functional: PBE-GGA
Structure: optimized geometry

## Properties
The value obtained for the total moment is 0.8 μB per formula unit. The value obtained for the formation energy from raw total energies is -0.9625 eV/atom. The distance to the lowest polymorph of the same formula comes out at 8.0 meV/atom.

a b c (Å): 8.4917 8.4917 4.0298
angles (deg): 90.00 90.00 140.39
Fractional coordinates of all 6 atoms:
Pa 0.0000 0.0000 0.0000
Tl 0.3430 0.6570 0.5000
Tl 0.6570 0.3430 0.5000
S 0.1106 0.8894 0.5000
S 0.5000 0.5000 0.0000
S 0.8894 0.1106 0.5000

=====

Look up the total moment of the second one. 3.7 μB per formula unit